# ErThIrPd PBE-GGA relaxed
# Relative energy among the computed polymorphs = 0.000 eV per atom
# Size of the total moment = 0.00 μB/cell
# E_form = -0.9579 eV/atom
# Density of states at the Fermi level = 6.54 states/eV/cell
# Volume = 22.84 Å³/atom
data_ErThIrPd
_cell_length_a 4.245
_cell_length_b 3.860
_cell_length_c 11.150
_cell_angle_alpha 90.00
_cell_angle_beta 90.00
_cell_angle_gamma 90.00
_symmetry_space_group_name_H-M 'A m m 2'
_symmetry_Int_Tables_number 38
_symmetry_space_group_name_Hall 'A 2 -2'
loop_
_atom_site_label
_atom_site_fract_x
_atom_site_fract_y
_atom_site_fract_z
Er1 0.000 0.000 0.000
Th1 0.500 0.000 0.276
Ir1 0.000 0.000 0.737
Pd1 0.500 0.000 0.551